Entry from the Alexandria database: an optimized crystal structure of La2HfTlBr (PBE).

Values from the calculation:
- Raw formation energy: 0.4511 eV/atom
- DOS(E_F): 0.9653 states/eV per atom
- Volume: 40.6 A^3/atom

Structure (CIF):
```
data_La2HfTlBr
_chemical_formula_sum 'La2 Hf1 Tl1 Br1'
_symmetry_space_group_name_H-M 'P 4/m m m'
_symmetry_Int_Tables_number 123
_symmetry_space_group_name_Hall '-P 4 2'
_cell_length_a 6.1496
_cell_length_b 6.1496
_cell_length_c 5.3722
_cell_angle_alpha 90.00
_cell_angle_beta 90.00
_cell_angle_gamma 90.00
loop_
_atom_site_label
_atom_site_type_symbol
_atom_site_fract_x
_atom_site_fract_y
_atom_site_fract_z
_atom_site_occupancy
La1 La 0.0000 0.5000 0.0000 1
Hf1 Hf 0.0000 0.0000 0.5000 1
Tl1 Tl 0.0000 0.0000 0.0000 1
Br1 Br 0.5000 0.5000 0.5000 1
```